[1]
A relaxed structure of CuP2Ir. Source: the Alexandria database, functional PBE.

The formation energy from the elements comes out at 0.24 eV per atom. The polymorph energy (0 for the lowest one) is 1.56 eV per formula unit. The value obtained for the total magnetic moment is 0.000 μB/atom.

Cell lengths 4.258, 4.258, 3.010 Å; angles 90.00, 90.00, 90.00 degrees
Element x y z (fractional)
1 Cu 0.000 0.000 0.000
2 P 0.000 0.500 0.500
3 P 0.500 0.000 0.500
4 Ir 0.500 0.500 0.000

[2]
A relaxed structure of TbPrCdAu. Source: the Alexandria database, functional PBE.

The formation energy from the elements comes out at -0.56 eV per atom. The polymorph energy (0 for the lowest one) is 0.00 eV per formula unit. The value obtained for the total magnetic moment is 0.054 μB/atom.

Cell lengths 3.731, 3.731, 7.566 Å; angles 90.00, 90.00, 90.00 degrees
Element x y z (fractional)
1 Tb 0.000 0.000 0.000
2 Pr 0.000 0.000 0.527
3 Cd 0.500 0.500 0.252
4 Au 0.500 0.500 0.793